Entry 1:
Density functional theory data (PBE) for Ca3NdPu2Se6 after structural relaxation.

Cell lengths 7.2493, 7.2493, 7.3271 Å; angles 99.50, 99.50, 119.99 degrees
With the nearest neighbours (Å) after each atom.
Atoms (fractional coordinates):
Ca 0.0000 0.0000 0.0000  6 Se 2.95-2.97
Ca 0.3342 0.6658 0.0000  6 Se 2.95-2.97
Ca 0.6658 0.3342 0.0000  6 Se 2.95-2.97
Nd 0.5000 0.5000 0.5000  6 Se 3.00
Pu 0.1668 0.8332 0.5000  6 Se 2.97
Pu 0.8332 0.1668 0.5000  6 Se 2.97
Se 0.0798 0.4159 0.2480  3 Ca 2.95-2.97, 2 Pu 2.97, 1 Nd 3.00
Se 0.2477 0.2477 0.7520  3 Ca 2.95-2.96, 2 Pu 2.97, 1 Nd 3.00
Se 0.4159 0.0798 0.2480  3 Ca 2.95-2.97, 2 Pu 2.97, 1 Nd 3.00
Se 0.5841 0.9202 0.7520  3 Ca 2.95-2.97, 2 Pu 2.97, 1 Nd 3.00
Se 0.7523 0.7523 0.2480  3 Ca 2.95-2.96, 2 Pu 2.97, 1 Nd 3.00
Se 0.9202 0.5841 0.7520  3 Ca 2.95-2.97, 2 Pu 2.97, 1 Nd 3.00

Output
* total energy: -6.812 eV/atom
* symmetry: C2/m
* energy relative to the elements, uncorrected: -21.40 eV/f.u.
* density: 6468 kg/m³
* D(E_F): 23.6 states/eV per cell

Entry 2:
Density functional theory data (PBE) for CaNdPu2Se4 after structural relaxation.

Cell lengths 7.2574, 4.1789, 7.2609 Å; angles 90.00, 109.41, 90.00 degrees
With the nearest neighbours (Å) after each atom.
Atoms (fractional coordinates):
Ca 0.0000 0.0000 0.0000  6 Se 2.96
Nd 0.0000 0.5000 0.5000  6 Se 2.99
Pu 0.5000 0.0000 0.5000  6 Se 2.96
Pu 0.5000 0.5000 0.0000  6 Se 2.93-2.94
Se 0.2520 0.5000 0.2481  3 Pu 2.94-2.96, 2 Ca 2.96, 1 Nd 2.99
Se 0.2550 0.0000 0.7547  3 Pu 2.93-2.96, 1 Ca 2.96, 2 Nd 2.99
Se 0.7450 0.0000 0.2453  3 Pu 2.93-2.96, 1 Ca 2.96, 2 Nd 2.99
Se 0.7480 0.5000 0.7519  3 Pu 2.94-2.96, 2 Ca 2.96, 1 Nd 2.99

Output
* total energy: -7.883 eV/atom
* symmetry: P2/m
* energy relative to the elements, uncorrected: -13.69 eV/f.u.
* density: 7900 kg/m³
* D(E_F): 18.1 states/eV per cell

Entry 3:
Density functional theory data (PBE) for CaNdPu2Te4 after structural relaxation.

Cell lengths 7.7515, 4.4626, 7.7592 Å; angles 90.00, 109.37, 90.00 degrees
With the nearest neighbours (Å) after each atom.
Atoms (fractional coordinates):
Ca 0.0000 0.0000 0.0000  6 Te 3.16-3.17
Nd 0.0000 0.5000 0.5000  6 Te 3.18-3.19
Pu 0.5000 0.0000 0.5000  6 Te 3.16
Pu 0.5000 0.5000 0.0000  6 Te 3.14-3.15
Te 0.2516 0.5000 0.2487  3 Pu 3.15-3.16, 2 Ca 3.16, 1 Nd 3.18
Te 0.2538 0.0000 0.7533  3 Pu 3.14-3.16, 1 Ca 3.17, 2 Nd 3.19
Te 0.7462 0.0000 0.2467  3 Pu 3.14-3.16, 1 Ca 3.17, 2 Nd 3.19
Te 0.7484 0.5000 0.7513  3 Pu 3.15-3.16, 2 Ca 3.16, 1 Nd 3.18

Output
* total energy: -7.298 eV/atom
* symmetry: P2/m
* energy relative to the elements, uncorrected: -10.38 eV/f.u.
* density: 7756 kg/m³
* D(E_F): 22.8 states/eV per cell

Entry 4:
Density functional theory data (PBE) for CaNd3Pu2Te6 after structural relaxation.

Cell lengths 7.7398, 7.7398, 7.7943 Å; angles 99.54, 99.54, 119.98 degrees
With the nearest neighbours (Å) after each atom.
Atoms (fractional coordinates):
Ca 0.0000 0.0000 0.0000  6 Te 3.14
Nd 0.1663 0.8337 0.5000  6 Te 3.19
Nd 0.5000 0.5000 0.5000  6 Te 3.19
Nd 0.8337 0.1663 0.5000  6 Te 3.19
Pu 0.3335 0.6665 0.0000  6 Te 3.14-3.15
Pu 0.6665 0.3335 0.0000  6 Te 3.14-3.15
Te 0.0816 0.4148 0.2447  1 Ca 3.14, 2 Pu 3.15, 3 Nd 3.19
Te 0.2518 0.2518 0.7557  2 Pu 3.14, 1 Ca 3.14, 3 Nd 3.19
Te 0.4148 0.0816 0.2447  1 Ca 3.14, 2 Pu 3.15, 3 Nd 3.19
Te 0.5852 0.9184 0.7553  1 Ca 3.14, 2 Pu 3.15, 3 Nd 3.19
Te 0.7482 0.7482 0.2443  2 Pu 3.14, 1 Ca 3.14, 3 Nd 3.19
Te 0.9184 0.5852 0.7553  1 Ca 3.14, 2 Pu 3.15, 3 Nd 3.19

Output
* total energy: -6.665 eV/atom
* symmetry: C2/m
* energy relative to the elements, uncorrected: -16.16 eV/f.u.
* density: 7513 kg/m³
* D(E_F): 26.2 states/eV per cell

Entry 5:
Density functional theory data (PBE) for Ca3Nd2PuTe6 after structural relaxation.

Cell lengths 10.0904, 10.0904, 9.0522 Å; angles 103.84, 103.84, 25.57 degrees
With the nearest neighbours (Å) after each atom.
Atoms (fractional coordinates):
Ca 0.0000 0.0000 0.0000  6 Te 3.16-3.18
Ca 0.3331 0.3331 0.6654  6 Te 3.16-3.17
Ca 0.6669 0.6669 0.3346  6 Te 3.16-3.17
Nd 0.3333 0.3333 0.1653  6 Te 3.20
Nd 0.6667 0.6667 0.8347  6 Te 3.20
Pu 0.0000 0.0000 0.5000  6 Te 3.18-3.19
Te 0.1657 0.1657 0.0874  3 Ca 3.16, 3 Nd 3.20
Te 0.1671 0.1671 0.5816  3 Ca 3.16-3.17, 1 Pu 3.19, 2 Nd 3.20
Te 0.4992 0.4992 0.7495  3 Ca 3.17-3.18, 2 Pu 3.18, 1 Nd 3.20
Te 0.5008 0.5008 0.2505  3 Ca 3.17-3.18, 2 Pu 3.18, 1 Nd 3.20
Te 0.8329 0.8329 0.4184  3 Ca 3.16-3.17, 1 Pu 3.19, 2 Nd 3.20
Te 0.8343 0.8343 0.9126  3 Ca 3.16, 3 Nd 3.20

Output
* total energy: -5.513 eV/atom
* symmetry: C2/m
* energy relative to the elements, uncorrected: -17.43 eV/f.u.
* density: 6108 kg/m³
* D(E_F): 17.9 states/eV per cell

Entry 6:
Density functional theory data (PBE) for Ca2NdPuTe4 after structural relaxation.

Cell lengths 7.7479, 4.4723, 7.8457 Å; angles 90.00, 109.23, 90.00 degrees
With the nearest neighbours (Å) after each atom.
Atoms (fractional coordinates):
Ca 0.0000 0.0000 0.0000  6 Te 3.17-3.18
Ca 0.5000 0.5000 0.0000  6 Te 3.16
Nd 0.0000 0.5000 0.5000  6 Te 3.19-3.20
Pu 0.5000 0.0000 0.5000  6 Te 3.18
Te 0.2512 0.5000 0.2487  3 Ca 3.16-3.18, 2 Pu 3.18, 1 Nd 3.19
Te 0.2524 0.0000 0.7533  3 Ca 3.16-3.17, 1 Pu 3.18, 2 Nd 3.20
Te 0.7476 0.0000 0.2467  3 Ca 3.16-3.17, 1 Pu 3.18, 2 Nd 3.20
Te 0.7488 0.5000 0.7513  3 Ca 3.16-3.18, 2 Pu 3.18, 1 Nd 3.19

Output
* total energy: -5.881 eV/atom
* symmetry: P2/m
* energy relative to the elements, uncorrected: -11.38 eV/f.u.
* density: 6332 kg/m³
* D(E_F): 15.9 states/eV per cell